[1]
# PBE Sr2GaHg, optimized geometry
# * formation energy: -0.431 eV/atom
data_Sr2GaHg
_chemical_formula_sum 'Sr4 Ga2 Hg2'
_cell_length_a 6.442
_cell_length_b 4.928
_cell_length_c 8.767
_cell_angle_alpha 90.00
_cell_angle_beta 109.80
_cell_angle_gamma 90.00
_space_group_name_H-M_alt 'P 1 21/m 1'
_space_group_IT_number 11
_space_group_name_Hall '-P 2yb'
loop_
_atom_site_label
_atom_site_type_symbol
_atom_site_fract_x
_atom_site_fract_y
_atom_site_fract_z
Sr1 Sr 0.210 0.250 0.427
Sr2 Sr 0.218 0.250 0.930
Ga1 Ga 0.354 0.750 0.712
Hg1 Hg 0.363 0.750 0.217

***

[2]
# PBE Sr3Ga3Hg2, optimized geometry
# * formation energy: -0.447 eV/atom
data_Sr3Ga3Hg2
_chemical_formula_sum 'Sr12 Ga12 Hg8'
_cell_length_a 4.792
_cell_length_b 11.596
_cell_length_c 16.058
_cell_angle_alpha 90.00
_cell_angle_beta 90.00
_cell_angle_gamma 90.00
_space_group_name_H-M_alt 'C m c m'
_space_group_IT_number 63
_space_group_name_Hall '-C 2c 2'
loop_
_atom_site_label
_atom_site_type_symbol
_atom_site_fract_x
_atom_site_fract_y
_atom_site_fract_z
Sr1 Sr 0.000 0.100 0.107
Sr2 Sr 0.000 0.378 0.250
Ga1 Ga 0.000 0.335 0.750
Ga2 Ga 0.000 0.397 0.037
Hg1 Hg 0.000 0.195 0.600

***

[3]
# PBE Sr2TaGaHg, optimized geometry
# * formation energy: 0.898 eV/atom
data_Sr2TaGaHg
_chemical_formula_sum 'Sr2 Ta1 Ga1 Hg1'
_cell_length_a 6.029
_cell_length_b 6.029
_cell_length_c 5.260
_cell_angle_alpha 90.00
_cell_angle_beta 90.00
_cell_angle_gamma 90.00
_space_group_name_H-M_alt 'P 4/m m m'
_space_group_IT_number 123
_space_group_name_Hall '-P 4 2'
loop_
_atom_site_label
_atom_site_type_symbol
_atom_site_fract_x
_atom_site_fract_y
_atom_site_fract_z
Sr1 Sr 0.000 0.500 0.000
Ta1 Ta 0.000 0.000 0.000
Ga1 Ga 0.500 0.500 0.500
Hg1 Hg 0.000 0.000 0.500

***

[4]
# PBE SrThGaHg, optimized geometry
# * formation energy: -0.258 eV/atom
data_SrThGaHg
_chemical_formula_sum 'Sr4 Th4 Ga4 Hg4'
_cell_length_a 7.690
_cell_length_b 7.690
_cell_length_c 7.690
_cell_angle_alpha 90.00
_cell_angle_beta 90.00
_cell_angle_gamma 90.00
_space_group_name_H-M_alt 'F -4 3 m'
_space_group_IT_number 216
_space_group_name_Hall 'F -4 2 3'
loop_
_atom_site_label
_atom_site_type_symbol
_atom_site_fract_x
_atom_site_fract_y
_atom_site_fract_z
Sr1 Sr 0.000 0.000 0.000
Th1 Th 0.000 0.000 0.500
Ga1 Ga 0.250 0.250 0.750
Hg1 Hg 0.250 0.250 0.250

***

[5]
# PBE Sr2Tl2GaHg4, optimized geometry
# * formation energy: -0.262 eV/atom
data_Sr2Tl2GaHg4
_chemical_formula_sum 'Sr4 Tl4 Ga2 Hg8'
_cell_length_a 7.120
_cell_length_b 7.120
_cell_length_c 10.325
_cell_angle_alpha 90.00
_cell_angle_beta 90.00
_cell_angle_gamma 90.00
_space_group_name_H-M_alt 'I 4/m m m'
_space_group_IT_number 139
_space_group_name_Hall '-I 4 2'
loop_
_atom_site_label
_atom_site_type_symbol
_atom_site_fract_x
_atom_site_fract_y
_atom_site_fract_z
Sr1 Sr 0.000 0.500 0.250
Tl1 Tl 0.000 0.000 0.214
Ga1 Ga 0.000 0.000 0.500
Hg1 Hg 0.227 0.227 0.000

***

[6]
# PBE SrTmGaHg, optimized geometry
# * formation energy: -0.408 eV/atom
data_SrTmGaHg
_chemical_formula_sum 'Sr4 Tm4 Ga4 Hg4'
_cell_length_a 7.548
_cell_length_b 7.548
_cell_length_c 7.548
_cell_angle_alpha 90.00
_cell_angle_beta 90.00
_cell_angle_gamma 90.00
_space_group_name_H-M_alt 'F -4 3 m'
_space_group_IT_number 216
_space_group_name_Hall 'F -4 2 3'
loop_
_atom_site_label
_atom_site_type_symbol
_atom_site_fract_x
_atom_site_fract_y
_atom_site_fract_z
Sr1 Sr 0.000 0.000 0.000
Tm1 Tm 0.000 0.000 0.500
Ga1 Ga 0.250 0.250 0.250
Hg1 Hg 0.250 0.250 0.750

***

[7]
# PBE Sr2Zn4Ga3Hg, optimized geometry
# * formation energy: -0.318 eV/atom
data_Sr2Zn4Ga3Hg
_chemical_formula_sum 'Sr2 Zn4 Ga3 Hg1'
_cell_length_a 4.412
_cell_length_b 4.412
_cell_length_c 11.151
_cell_angle_alpha 90.00
_cell_angle_beta 90.00
_cell_angle_gamma 90.00
_space_group_name_H-M_alt 'P -4 m 2'
_space_group_IT_number 115
_space_group_name_Hall 'P -4 -2'
loop_
_atom_site_label
_atom_site_type_symbol
_atom_site_fract_x
_atom_site_fract_y
_atom_site_fract_z
Sr1 Sr 0.000 0.500 0.244
Zn1 Zn 0.000 0.000 0.000
Zn2 Zn 0.000 0.500 0.643
Zn3 Zn 0.500 0.500 0.000
Ga1 Ga 0.000 0.500 0.873
Ga2 Ga 0.500 0.500 0.500
Hg1 Hg 0.000 0.000 0.500

***

[8]
# PBE Sr2ZnGaHg6, optimized geometry
# * formation energy: -0.192 eV/atom
data_Sr2ZnGaHg6
_chemical_formula_sum 'Sr2 Zn1 Ga1 Hg6'
_cell_length_a 7.100
_cell_length_b 7.453
_cell_length_c 7.468
_cell_angle_alpha 90.90
_cell_angle_beta 118.33
_cell_angle_gamma 118.14
_space_group_name_H-M_alt 'P -1'
_space_group_IT_number 2
_space_group_name_Hall '-P 1'
loop_
_atom_site_label
_atom_site_type_symbol
_atom_site_fract_x
_atom_site_fract_y
_atom_site_fract_z
Sr1 Sr 0.000 0.246 0.255
Zn1 Zn 0.500 0.500 0.000
Ga1 Ga 0.500 0.000 0.500
Hg1 Hg 0.011 0.218 0.718
Hg2 Hg 0.410 0.707 0.207
Hg3 Hg 0.499 0.252 0.247

***

[9]
# PBE Sr2Zn3Ga4Hg, optimized geometry
# * formation energy: -0.337 eV/atom
data_Sr2Zn3Ga4Hg
_chemical_formula_sum 'Sr2 Zn3 Ga4 Hg1'
_cell_length_a 4.471
_cell_length_b 4.471
_cell_length_c 10.941
_cell_angle_alpha 90.00
_cell_angle_beta 90.00
_cell_angle_gamma 90.00
_space_group_name_H-M_alt 'P -4 m 2'
_space_group_IT_number 115
_space_group_name_Hall 'P -4 -2'
loop_
_atom_site_label
_atom_site_type_symbol
_atom_site_fract_x
_atom_site_fract_y
_atom_site_fract_z
Sr1 Sr 0.000 0.500 0.246
Zn1 Zn 0.000 0.500 0.873
Zn2 Zn 0.500 0.500 0.500
Ga1 Ga 0.000 0.000 0.000
Ga2 Ga 0.000 0.500 0.641
Ga3 Ga 0.500 0.500 0.000
Hg1 Hg 0.000 0.000 0.500

***

[10]
# PBE TaGaHg2, optimized geometry
# * formation energy: 0.531 eV/atom
data_TaGaHg2
_chemical_formula_sum 'Ta3 Ga3 Hg6'
_cell_length_a 3.0607
_cell_length_b 3.0607
_cell_length_c 32.1062
_cell_angle_alpha 90.00
_cell_angle_beta 90.00
_cell_angle_gamma 120.00
_space_group_name_H-M_alt 'R -3 m'
_space_group_IT_number 166
_space_group_name_Hall '-R 3 2"'
loop_
_atom_site_label
_atom_site_type_symbol
_atom_site_fract_x
_atom_site_fract_y
_atom_site_fract_z
Ta1 Ta 0.0000 0.0000 0.0000
Ga1 Ga 0.0000 0.0000 0.5000
Hg1 Hg 0.0000 0.0000 0.0891

***

[11]
# PBE TaGaHg3, optimized geometry
# * E above lowest polymorph: 0.000 eV per atom
# * formation energy: 0.873 eV/atom
data_TaGaHg3
_chemical_formula_sum 'Ta1 Ga1 Hg3'
_cell_length_a 5.434
_cell_length_b 5.434
_cell_length_c 5.434
_cell_angle_alpha 90.00
_cell_angle_beta 90.00
_cell_angle_gamma 90.00
_space_group_name_H-M_alt 'P m -3 m'
_space_group_IT_number 221
_space_group_name_Hall '-P 4 2 3'
loop_
_atom_site_label
_atom_site_type_symbol
_atom_site_fract_x
_atom_site_fract_y
_atom_site_fract_z
Ta1 Ta 0.000 0.000 0.000
Ga1 Ga 0.500 0.500 0.500
Hg1 Hg 0.000 0.000 0.500

***

[12]
# PBE TaGaHg2, optimized geometry
# * formation energy: 0.519 eV/atom
data_TaGaHg2
_chemical_formula_sum 'Ta4 Ga4 Hg8'
_cell_length_a 7.611
_cell_length_b 7.611
_cell_length_c 5.703
_cell_angle_alpha 90.00
_cell_angle_beta 90.00
_cell_angle_gamma 90.00
_space_group_name_H-M_alt 'I -4 2 d'
_space_group_IT_number 122
_space_group_name_Hall 'I -4 2bw'
loop_
_atom_site_label
_atom_site_type_symbol
_atom_site_fract_x
_atom_site_fract_y
_atom_site_fract_z
Ta1 Ta 0.000 0.000 0.000
Ga1 Ga 0.000 0.000 0.500
Hg1 Hg 0.234 0.250 0.625

***

[13]
# PBE TaGa2Hg, optimized geometry
# * formation energy: 0.439 eV/atom
data_TaGa2Hg
_chemical_formula_sum 'Ta4 Ga8 Hg4'
_cell_length_a 7.306
_cell_length_b 7.306
_cell_length_c 5.843
_cell_angle_alpha 90.00
_cell_angle_beta 90.00
_cell_angle_gamma 90.00
_space_group_name_H-M_alt 'I -4 2 d'
_space_group_IT_number 122
_space_group_name_Hall 'I -4 2bw'
loop_
_atom_site_label
_atom_site_type_symbol
_atom_site_fract_x
_atom_site_fract_y
_atom_site_fract_z
Ta1 Ta 0.000 0.000 0.000
Ga1 Ga 0.248 0.250 0.625
Hg1 Hg 0.000 0.000 0.500

***

[14]
# PBE Ta2GaHg2, optimized geometry
# * E above lowest polymorph: 0.000 eV per atom
# * formation energy: 0.596 eV/atom
data_Ta2GaHg2
_chemical_formula_sum 'Ta4 Ga2 Hg4'
_cell_length_a 3.810
_cell_length_b 3.810
_cell_length_c 15.059
_cell_angle_alpha 90.00
_cell_angle_beta 90.00
_cell_angle_gamma 90.00
_space_group_name_H-M_alt 'I 4/m m m'
_space_group_IT_number 139
_space_group_name_Hall '-I 4 2'
loop_
_atom_site_label
_atom_site_type_symbol
_atom_site_fract_x
_atom_site_fract_y
_atom_site_fract_z
Ta1 Ta 0.000 0.500 0.250
Ga1 Ga 0.000 0.000 0.000
Hg1 Hg 0.000 0.000 0.404

***

[15]
# PBE Ta2GaHg2, optimized geometry
# * E above lowest polymorph: 0.635 eV per atom
# * formation energy: 1.231 eV/atom
data_Ta2GaHg2
_chemical_formula_sum 'Ta2 Ga1 Hg2'
_cell_length_a 5.427
_cell_length_b 5.427
_cell_length_c 4.875
_cell_angle_alpha 90.00
_cell_angle_beta 90.00
_cell_angle_gamma 90.00
_space_group_name_H-M_alt 'P 4/m m m'
_space_group_IT_number 123
_space_group_name_Hall '-P 4 2'
loop_
_atom_site_label
_atom_site_type_symbol
_atom_site_fract_x
_atom_site_fract_y
_atom_site_fract_z
Ta1 Ta 0.000 0.000 0.000
Ta2 Ta 0.000 0.000 0.500
Ga1 Ga 0.500 0.500 0.000
Hg1 Hg 0.000 0.500 0.500

***

[16]
# PBE TaGaHg3, optimized geometry
# * E above lowest polymorph: 0.336 eV per atom
# * formation energy: 1.209 eV/atom
data_TaGaHg3
_chemical_formula_sum 'Ta1 Ga1 Hg3'
_cell_length_a 4.995
_cell_length_b 4.995
_cell_length_c 4.995
_cell_angle_alpha 90.00
_cell_angle_beta 90.00
_cell_angle_gamma 90.00
_space_group_name_H-M_alt 'P m -3 m'
_space_group_IT_number 221
_space_group_name_Hall '-P 4 2 3'
loop_
_atom_site_label
_atom_site_type_symbol
_atom_site_fract_x
_atom_site_fract_y
_atom_site_fract_z
Ta1 Ta 0.000 0.000 0.000
Ga1 Ga 0.500 0.500 0.500
Hg1 Hg 0.000 0.500 0.500

***

[17]
# PBE Ta2GaHg2, optimized geometry
# * E above lowest polymorph: 0.030 eV per atom
# * formation energy: 0.626 eV/atom
data_Ta2GaHg2
_chemical_formula_sum 'Ta4 Ga2 Hg4'
_cell_length_a 8.524
_cell_length_b 8.524
_cell_length_c 2.935
_cell_angle_alpha 90.00
_cell_angle_beta 90.00
_cell_angle_gamma 90.00
_space_group_name_H-M_alt 'P 4/m b m'
_space_group_IT_number 127
_space_group_name_Hall '-P 4 2ab'
loop_
_atom_site_label
_atom_site_type_symbol
_atom_site_fract_x
_atom_site_fract_y
_atom_site_fract_z
Ta1 Ta 0.112 0.388 0.000
Ga1 Ga 0.000 0.000 0.500
Hg1 Hg 0.183 0.683 0.500

***

[18]
# PBE TaV2GaHg, optimized geometry
# * formation energy: 1.377 eV/atom
data_TaV2GaHg
_chemical_formula_sum 'Ta1 V2 Ga1 Hg1'
_cell_length_a 4.674
_cell_length_b 4.674
_cell_length_c 5.409
_cell_angle_alpha 90.00
_cell_angle_beta 90.00
_cell_angle_gamma 90.00
_space_group_name_H-M_alt 'P 4/m m m'
_space_group_IT_number 123
_space_group_name_Hall '-P 4 2'
loop_
_atom_site_label
_atom_site_type_symbol
_atom_site_fract_x
_atom_site_fract_y
_atom_site_fract_z
Ta1 Ta 0.000 0.000 0.000
V1 V 0.000 0.500 0.000
Ga1 Ga 0.500 0.500 0.500
Hg1 Hg 0.000 0.000 0.500

***

[19]
# PBE TaGa2HgW, optimized geometry
# * formation energy: 1.222 eV/atom
data_TaGa2HgW
_chemical_formula_sum 'Ta1 Ga2 Hg1 W1'
_cell_length_a 5.104
_cell_length_b 5.104
_cell_length_c 4.865
_cell_angle_alpha 90.00
_cell_angle_beta 90.00
_cell_angle_gamma 90.00
_space_group_name_H-M_alt 'P 4/m m m'
_space_group_IT_number 123
_space_group_name_Hall '-P 4 2'
loop_
_atom_site_label
_atom_site_type_symbol
_atom_site_fract_x
_atom_site_fract_y
_atom_site_fract_z
Ta1 Ta 0.000 0.000 0.000
Ga1 Ga 0.000 0.500 0.000
Hg1 Hg 0.500 0.500 0.500
W1 W 0.000 0.000 0.500

***

[20]
# PBE Tb2GaHg, optimized geometry
# * formation energy: -0.534 eV/atom
data_Tb2GaHg
_chemical_formula_sum 'Tb2 Ga1 Hg1'
_cell_length_a 3.624
_cell_length_b 3.624
_cell_length_c 7.495
_cell_angle_alpha 90.00
_cell_angle_beta 90.00
_cell_angle_gamma 90.00
_space_group_name_H-M_alt 'P 4/m m m'
_space_group_IT_number 123
_space_group_name_Hall '-P 4 2'
loop_
_atom_site_label
_atom_site_type_symbol
_atom_site_fract_x
_atom_site_fract_y
_atom_site_fract_z
Tb1 Tb 0.000 0.000 0.235
Ga1 Ga 0.500 0.500 0.000
Hg1 Hg 0.500 0.500 0.500

***

[21]
# PBE Tb2GaHg2, optimized geometry
# * E above lowest polymorph: 0.126 eV per atom
# * formation energy: -0.341 eV/atom
data_Tb2GaHg2
_chemical_formula_sum 'Tb4 Ga2 Hg4'
_cell_length_a 10.630
_cell_length_b 4.004
_cell_length_c 6.193
_cell_angle_alpha 90.00
_cell_angle_beta 93.02
_cell_angle_gamma 90.00
_space_group_name_H-M_alt 'C 1 2/m 1'
_space_group_IT_number 12
_space_group_name_Hall '-C 2y'
loop_
_atom_site_label
_atom_site_type_symbol
_atom_site_fract_x
_atom_site_fract_y
_atom_site_fract_z
Tb1 Tb 0.189 0.000 0.218
Ga1 Ga 0.000 0.500 0.000
Hg1 Hg 0.096 0.000 0.687

***

[22]
# PBE TbGaHg, optimized geometry
# * formation energy: -0.506 eV/atom
data_TbGaHg
_chemical_formula_sum 'Tb1 Ga1 Hg1'
_cell_length_a 4.6757
_cell_length_b 4.6757
_cell_length_c 3.5761
_cell_angle_alpha 90.00
_cell_angle_beta 90.00
_cell_angle_gamma 120.00
_space_group_name_H-M_alt 'P 3 m 1'
_space_group_IT_number 156
_space_group_name_Hall 'P 3 -2"'
loop_
_atom_site_label
_atom_site_type_symbol
_atom_site_fract_x
_atom_site_fract_y
_atom_site_fract_z
Tb1 Tb 0.0000 0.0000 0.0000
Ga1 Ga 0.3333 0.6667 0.5028
Hg1 Hg 0.6667 0.3333 0.4986

***

[23]
# PBE TbGaHg2, optimized geometry
# * formation energy: -0.359 eV/atom
data_TbGaHg2
_chemical_formula_sum 'Tb1 Ga1 Hg2'
_cell_length_a 4.384
_cell_length_b 4.384
_cell_length_c 4.797
_cell_angle_alpha 90.00
_cell_angle_beta 90.00
_cell_angle_gamma 90.00
_space_group_name_H-M_alt 'P 4/m m m'
_space_group_IT_number 123
_space_group_name_Hall '-P 4 2'
loop_
_atom_site_label
_atom_site_type_symbol
_atom_site_fract_x
_atom_site_fract_y
_atom_site_fract_z
Tb1 Tb 0.000 0.000 0.000
Ga1 Ga 0.500 0.500 0.000
Hg1 Hg 0.000 0.500 0.500

***

[24]
# PBE Tb4Ga2Hg5, optimized geometry
# * formation energy: -0.452 eV/atom
data_Tb4Ga2Hg5
_chemical_formula_sum 'Tb4 Ga2 Hg5'
_cell_length_a 7.765
_cell_length_b 3.758
_cell_length_c 9.325
_cell_angle_alpha 90.00
_cell_angle_beta 92.04
_cell_angle_gamma 90.00
_space_group_name_H-M_alt 'P 1 2/m 1'
_space_group_IT_number 10
_space_group_name_Hall '-P 2y'
loop_
_atom_site_label
_atom_site_type_symbol
_atom_site_fract_x
_atom_site_fract_y
_atom_site_fract_z
Tb1 Tb 0.196 0.000 0.362
Tb2 Tb 0.247 0.000 0.917
Ga1 Ga 0.065 0.500 0.126
Hg1 Hg 0.147 0.500 0.635
Hg2 Hg 0.438 0.500 0.167
Hg3 Hg 0.500 0.500 0.500

***

[25]
# PBE Tb5Ga2Hg, optimized geometry
# * E above lowest polymorph: 0.000 eV per atom
# * formation energy: -0.456 eV/atom
data_Tb5Ga2Hg
_chemical_formula_sum 'Tb20 Ga8 Hg4'
_cell_length_a 7.604
_cell_length_b 7.604
_cell_length_c 14.846
_cell_angle_alpha 90.00
_cell_angle_beta 90.00
_cell_angle_gamma 90.00
_space_group_name_H-M_alt 'I 4/m c m'
_space_group_IT_number 140
_space_group_name_Hall '-I 4 2c'
loop_
_atom_site_label
_atom_site_type_symbol
_atom_site_fract_x
_atom_site_fract_y
_atom_site_fract_z
Tb1 Tb 0.000 0.000 0.000
Tb2 Tb 0.171 0.329 0.145
Ga1 Ga 0.121 0.379 0.500
Hg1 Hg 0.000 0.000 0.250

***

[26]
# PBE TbGaHg2, optimized geometry
# * formation energy: -0.254 eV/atom
data_TbGaHg2
_chemical_formula_sum 'Tb1 Ga1 Hg2'
_cell_length_a 3.314
_cell_length_b 4.716
_cell_length_c 6.110
_cell_angle_alpha 90.00
_cell_angle_beta 98.19
_cell_angle_gamma 90.00
_space_group_name_H-M_alt 'P 1 2/m 1'
_space_group_IT_number 10
_space_group_name_Hall '-P 2y'
loop_
_atom_site_label
_atom_site_type_symbol
_atom_site_fract_x
_atom_site_fract_y
_atom_site_fract_z
Tb1 Tb 0.000 0.000 0.000
Ga1 Ga 0.500 0.000 0.500
Hg1 Hg 0.414 0.500 0.747